# 1
The following is a DFT calculation (PBE) of crystalline Er11Ga9Pd4 at its relaxed geometry.

a b c (Å): 3.5561 12.5922 12.5922
angles (deg): 113.10 90.00 90.00
Fractional positions:
Er1 0.0000 0.5901 0.9367
Er2 0.0000 0.4099 0.0633
Er3 0.0000 0.9367 0.5901
Er4 0.0000 0.0633 0.4099
Er5 0.0000 0.6316 0.3684
Er6 0.0000 0.3684 0.6316
Er7 0.0000 0.8362 0.1638
Er8 0.0000 0.1638 0.8362
Er9 0.0000 0.0000 0.0000
Er10 0.0000 0.7032 0.7032
Er11 0.0000 0.2968 0.2968
Ga1 0.5000 0.6318 0.1605
Ga2 0.5000 0.3682 0.8395
Ga3 0.5000 0.1605 0.6318
Ga4 0.5000 0.8395 0.3682
Ga5 0.5000 0.7864 0.9317
Ga6 0.5000 0.2136 0.0683
Ga7 0.5000 0.9317 0.7864
Ga8 0.5000 0.0683 0.2136
Ga9 0.5000 0.5000 0.5000
Pd1 0.5000 0.5538 0.7562
Pd2 0.5000 0.4462 0.2438
Pd3 0.5000 0.7562 0.5538
Pd4 0.5000 0.2438 0.4462

Computed properties:
Calculated formation energy: -716 meV per atom
Density of states at the Fermi level: 0.534 states/eV per atom



# 2
The following is a DFT calculation (PBE) of crystalline BaLiAg2 at its relaxed geometry.

a b c (Å): 5.7247 5.7247 5.7247
angles (deg): 130.95 130.95 71.90
Fractional positions:
Ag1 0.0000 0.0000 0.0000
Ag2 0.2500 0.7500 0.5000
Ba1 0.5000 0.5000 0.0000
Li1 0.7500 0.2500 0.5000

Computed properties:
Energy relative to the lowest polymorph listed for this composition: 0.833 eV per formula unit
Calculated formation energy: -38 meV per atom
Density of states at the Fermi level: 0.679 states/eV per atom



# 3
The following is a DFT calculation (PBE) of crystalline TiTl3Te6Pd2 at its relaxed geometry.

a b c (Å): 7.1612 7.1612 8.1184
angles (deg): 98.30 98.30 120.12
Fractional positions:
Ti1 0.0000 0.0000 0.0000
Tl1 0.1633 0.8367 0.5000
Tl2 0.8367 0.1633 0.5000
Tl3 0.5000 0.5000 0.5000
Te1 0.9383 0.6026 0.8123
Te2 0.7275 0.7275 0.1865
Te3 0.0617 0.3974 0.1877
Te4 0.6026 0.9383 0.8123
Te5 0.2725 0.2725 0.8135
Te6 0.3974 0.0617 0.1877
Pd1 0.3339 0.6661 0.0000
Pd2 0.6661 0.3339 0.0000

Computed properties:
Uncorrected formation energy: -337.8 meV per atom
Density of states at the Fermi level: 0.699 states/eV per atom



# 4
The following is a DFT calculation (PBE) of crystalline Be2Cu2Hg at its relaxed geometry.

a b c (Å): 6.7395 6.7395 2.7642
angles (deg): 90.00 90.00 90.00
Fractional positions:
Be1 0.1542 0.6542 0.5000
Be2 0.6542 0.8458 0.5000
Be3 0.8458 0.3458 0.5000
Be4 0.3458 0.1542 0.5000
Hg1 0.0000 0.0000 0.0000
Hg2 0.5000 0.5000 0.0000
Cu1 0.3678 0.8678 0.0000
Cu2 0.8678 0.6322 0.0000
Cu3 0.6322 0.1322 0.0000
Cu4 0.1322 0.3678 0.0000

Computed properties:
Energy relative to the lowest polymorph listed for this composition: 0.388 eV per formula unit
Calculated formation energy: 189 meV per atom
Density of states at the Fermi level: 0.162 states/eV per atom



# 5
The following is a DFT calculation (PBE) of crystalline PmDy2TmSe6 at its relaxed geometry.

a b c (Å): 7.2368 7.2368 7.7207
angles (deg): 62.05 62.05 59.99
Fractional positions:
Pm1 0.8147 0.8148 0.5557
Dy1 0.5156 0.5156 0.4533
Dy2 0.0126 0.0127 0.9622
Tm1 0.3192 0.3191 0.0425
Se1 0.6066 0.2248 0.2484
Se2 0.2247 0.9202 0.2484
Se3 0.9203 0.6066 0.2484
Se4 0.4043 0.7206 0.7521
Se5 0.7206 0.1228 0.7521
Se6 0.1229 0.4044 0.7521

Computed properties:
Uncorrected formation energy: -1844.8 meV per atom
Density of states at the Fermi level: 0.000 states/eV per atom



# 6
The following is a DFT calculation (PBE) of crystalline BeTc2BP at its relaxed geometry.

a b c (Å): 4.1909 3.4969 4.1909
angles (deg): 90.00 90.00 90.00
Fractional positions:
P1 0.0000 0.5000 0.0000
B1 0.5000 0.5000 0.5000
Tc1 0.0000 0.0000 0.5000
Tc2 0.5000 0.0000 0.0000
Be1 0.0000 0.0000 0.0000

Computed properties:
Calculated formation energy: 1088 meV per atom
Density of states at the Fermi level: 0.943 states/eV per atom



# 7
The following is a DFT calculation (PBE) of crystalline Ba2CaBe at its relaxed geometry.

a b c (Å): 9.7605 9.7605 9.7605
angles (deg): 157.31 151.91 36.41
Fractional positions:
Be1 0.7500 0.2500 0.5000
Ca1 0.2500 0.7500 0.5000
Ba1 0.9051 0.9051 0.0000
Ba2 0.5949 0.5949 0.0000

Computed properties:
Calculated formation energy: 348 meV per atom
Density of states at the Fermi level: 1.155 states/eV per atom



# 8
The following is a DFT calculation (PBE) of crystalline PmPr3Sm2As6 at its relaxed geometry.

a b c (Å): 4.2678 8.5290 9.5357
angles (deg): 102.92 102.93 90.00
Fractional positions:
Pm1 0.5000 0.0000 0.0000
Pr1 0.5000 0.5000 0.0000
Pr2 0.8333 0.1669 0.6667
Pr3 0.1667 0.8331 0.3333
Sm1 0.8332 0.6666 0.6665
Sm2 0.1668 0.3334 0.3335
As1 0.3342 0.9135 0.6684
As2 0.6679 0.5802 0.3358
As3 0.6658 0.0865 0.3316
As4 0.0012 0.2479 0.0025
As5 0.9988 0.7521 0.9975
As6 0.3321 0.4198 0.6642

Computed properties:
Calculated formation energy: -1512 meV per atom
Density of states at the Fermi level: 0.145 states/eV per atom



# 9
The following is a DFT calculation (PBE) of crystalline Pm2ZnInPd6 at its relaxed geometry.

a b c (Å): 6.5648 8.9046 5.6095
angles (deg): 60.49 45.51 70.20
Fractional positions:
Pm1 0.8773 0.2705 0.4361
Pm2 0.1227 0.7295 0.5639
Zn1 0.0000 0.0000 0.0000
In1 0.5000 0.5000 0.0000
Pd1 0.4594 0.1545 0.2988
Pd2 0.6625 0.8814 0.0653
Pd3 0.9608 0.6445 0.2642
Pd4 0.0392 0.3555 0.7358
Pd5 0.3375 0.1186 0.9347
Pd6 0.5406 0.8455 0.7012

Computed properties:
Calculated formation energy: -609 meV per atom
Density of states at the Fermi level: 0.385 states/eV per atom



# 10
The following is a DFT calculation (PBE) of crystalline CaBeCr2 at its relaxed geometry.

a b c (Å): 4.9703 5.3660 2.7791
angles (deg): 76.50 86.85 116.67
Fractional positions:
Cr1 0.0000 0.0000 0.0000
Cr2 0.5000 0.0000 0.5000
Ca1 0.5000 0.5000 0.0000
Be1 0.0000 0.5000 0.5000

Computed properties:
Calculated formation energy: 1013 meV per atom
Density of states at the Fermi level: 1.296 states/eV per atom



# 11
The following is a DFT calculation (PBE) of crystalline LaCe2Pb at its relaxed geometry.

a b c (Å): 5.5285 5.5285 5.5285
angles (deg): 60.00 60.00 60.00
Fractional positions:
Pb1 0.0000 0.0000 0.0000
Ce1 0.2500 0.2500 0.2500
Ce2 0.7500 0.7500 0.7500
La1 0.5000 0.5000 0.5000

Computed properties:
Energy relative to the lowest polymorph listed for this composition: 0.960 eV per formula unit
Calculated formation energy: -70 meV per atom
Density of states at the Fermi level: 3.725 states/eV per atom



# 12
The following is a DFT calculation (PBE) of crystalline Li2ZnCuNi at its relaxed geometry.

a b c (Å): 4.3970 4.4482 4.3970
angles (deg): 90.00 90.00 90.00
Fractional positions:
Ni1 0.5000 0.5000 0.5000
Zn1 0.0000 0.0000 0.0000
Cu1 0.0000 0.5000 0.0000
Li1 0.0000 0.0000 0.5000
Li2 0.5000 0.0000 0.0000

Computed properties:
Calculated formation energy: 664 meV per atom
Density of states at the Fermi level: 0.726 states/eV per atom



# 13
The following is a DFT calculation (PBE) of crystalline Mg8Ni2Pb at its relaxed geometry.

a b c (Å): 4.9446 7.2099 7.2099
angles (deg): 112.24 97.25 97.25
Fractional positions:
Mg1 0.9225 0.9401 0.6676
Mg2 0.9225 0.6676 0.9401
Mg3 0.2884 0.6059 0.6059
Mg4 0.5000 0.7418 0.2582
Mg5 0.5000 0.2582 0.7418
Mg6 0.7116 0.3941 0.3941
Mg7 0.0775 0.3324 0.0599
Mg8 0.0775 0.0599 0.3324
Ni1 0.0000 0.3170 0.6830
Ni2 0.0000 0.6830 0.3170
Pb1 0.5000 0.0000 0.0000

Computed properties:
Calculated formation energy: -67 meV per atom
Density of states at the Fermi level: 0.514 states/eV per atom



# 14
The following is a DFT calculation (PBE) of crystalline Fe3CoIr at its relaxed geometry.

a b c (Å): 4.6279 5.8233 5.8233
angles (deg): 93.74 66.59 66.59
Fractional positions:
Fe1 0.6802 0.3198 0.8198
Fe2 0.1802 0.3198 0.8198
Fe3 0.8198 0.6802 0.1802
Fe4 0.3198 0.6802 0.1802
Fe5 0.7500 0.9388 0.5612
Fe6 0.2500 0.0612 0.4388
Co1 0.0000 0.5000 0.5000
Co2 0.5000 0.0000 0.0000
Ir1 0.7500 0.2457 0.2543
Ir2 0.2500 0.7543 0.7457

Computed properties:
Energy relative to the lowest polymorph listed for this composition: 1.837 eV per formula unit
Calculated formation energy: 359 meV per atom
Density of states at the Fermi level: 1.312 states/eV per atom



# 15
The following is a DFT calculation (PBE) of crystalline PuHf2Zr4 at its relaxed geometry.

a b c (Å): 8.4624 8.4352 7.1265
angles (deg): 126.25 90.00 119.80
Fractional positions:
Pu1 0.0551 0.4860 0.2171
Pu2 0.1949 0.1926 0.2114
Hf1 0.5538 0.4802 0.7115
Hf2 0.6961 0.1985 0.7171
Hf3 0.6250 0.3393 0.2143
Hf4 0.1250 0.3393 0.7143
Zr1 0.7668 0.0528 0.2145
Zr2 0.4833 0.6258 0.2140
Zr3 0.9751 0.6160 0.7091
Zr4 0.8339 0.9056 0.7081
Zr5 0.3419 0.9125 0.2142
Zr6 0.2749 0.0626 0.7195
Zr7 0.4160 0.7730 0.7204
Zr8 0.9082 0.7660 0.2144

Computed properties:
Energy relative to the lowest polymorph listed for this composition: 0.000 eV per formula unit
Calculated formation energy: 56 meV per atom
Density of states at the Fermi level: 1.467 states/eV per atom



# 16
The following is a DFT calculation (PBE) of crystalline Na2HgRuO4 at its relaxed geometry.

a b c (Å): 5.9659 5.9659 5.9659
angles (deg): 116.38 106.13 106.13
Fractional positions:
Na1 0.5000 0.7500 0.2500
Na2 0.0000 0.0000 0.0000
Hg1 0.5000 0.2500 0.7500
Ru1 0.0000 0.5000 0.5000
O1 0.7494 0.6129 0.4926
O2 0.8798 0.1365 0.3871
O3 0.1202 0.5074 0.2568
O4 0.2506 0.7432 0.8635

Computed properties:
Uncorrected formation energy: -1000.0 meV per atom



# 17
The following is a DFT calculation (PBE) of crystalline Tl2ReHg at its relaxed geometry.

a b c (Å): 4.3371 4.3371 10.5488
angles (deg): 78.14 78.14 90.00
Fractional positions:
Re1 0.5000 0.5000 0.0000
Re2 0.2500 0.7500 0.5000
Tl1 0.6028 0.1250 0.2500
Tl2 0.1472 0.6250 0.2500
Tl3 0.3750 0.3972 0.7500
Tl4 0.8750 0.8528 0.7500
Hg1 0.0000 0.0000 0.0000
Hg2 0.7500 0.2500 0.5000

Computed properties:
Energy relative to the lowest polymorph listed for this composition: 1.705 eV per formula unit
Calculated formation energy: 1116 meV per atom
Density of states at the Fermi level: 0.823 states/eV per atom



# 18
The following is a DFT calculation (PBE) of crystalline TeP3Se at its relaxed geometry.

a b c (Å): 4.7845 4.7845 4.7845
angles (deg): 90.00 90.00 90.00
Fractional positions:
P1 0.0000 0.5000 0.0000
P2 0.0000 0.0000 0.5000
P3 0.5000 0.0000 0.0000
Te1 0.5000 0.5000 0.5000
Se1 0.0000 0.0000 0.0000

Computed properties:
Uncorrected formation energy: 1051.9 meV per atom
Energy relative to the lowest polymorph listed for this composition: 0.000 eV per formula unit
Density of states at the Fermi level: 0.885 states/eV per atom



# 19
The following is a DFT calculation (PBE) of crystalline TbTmO at its relaxed geometry.

a b c (Å): 3.4990 3.4990 5.7092
angles (deg): 90.00 90.00 120.00
Fractional positions:
Tm1 0.3333 0.6667 0.5641
Tb1 0.0000 0.0000 0.0919
O1 0.6667 0.3333 0.3441

Computed properties:
Uncorrected formation energy: -1803.4 meV per atom
Energy relative to the lowest polymorph listed for this composition: 0.093 eV per formula unit
Density of states at the Fermi level: 1.094 states/eV per atom



# 20
The following is a DFT calculation (PBE) of crystalline Tb2GdF at its relaxed geometry.

a b c (Å): 3.7038 3.7038 8.7809
angles (deg): 77.82 77.82 60.00
Fractional positions:
Gd1 0.5000 0.5000 0.5000
Tb1 0.7225 0.7225 0.8326
Tb2 0.2775 0.2775 0.1674
F1 0.0000 0.0000 0.0000

Computed properties:
Uncorrected formation energy: -1138.0 meV per atom
Density of states at the Fermi level: 1.035 states/eV per atom